## ZrIn2 (meta-GGA SCAN)

Data for ZrIn2 at its PBEsol-relaxed geometry.

Properties
The formation enthalpy at 0 K comes out at -32 kJ/mol of formula units. Its density of states at the Fermi level is 0.885 states/eV per atom. Its crystal system is trigonal. As for the size of the total moment: 0.00 μB/cell.

a b c (Å): 3.2139 3.2139 7.5799
angles (deg): 90.00 90.00 120.00
Fractional positions:
Zr1 0.0000 0.0000 0.0000
In1 0.3333 0.6667 0.3300
In2 0.6667 0.3333 0.6700